No. 1
Below is a relaxed YZnCd3 crystal, with properties calculated at the PBE level.

energy above the most stable polymorph in this dataset = 474 kJ/mol of formula units
Fermi-level density of states = 6.61 states/eV per cell
formation energy = 0.761 eV per atom
mass density = 3.6 g cm⁻³
SG = Pm-3m

Lattice parameters (Å, degrees): 6.0791 6.0791 6.0791 90.00 90.00 90.00
Fractional positions:
Y1 0.0000 0.0000 0.0000
Cd1 0.0000 0.0000 0.5000
Cd2 0.5000 0.0000 0.0000
Cd3 0.0000 0.5000 0.0000
Zn1 0.5000 0.5000 0.5000

No. 2
Below is a relaxed NaInSb crystal, with properties calculated at the PBE level.

Fermi-level density of states = 1.74 states/eV per cell
ΔE_f (raw) = -47 kJ/mol of formula units
mass density = 4.4 g cm⁻³
SG = F-43m

Lattice parameters (Å, degrees): 5.1742 5.1742 5.1742 60.00 60.00 60.00
Fractional positions:
Na1 0.5000 0.5000 0.5000
Sb1 0.2500 0.2500 0.2500
In1 0.0000 0.0000 0.0000

No. 3
Below is a relaxed Er2ScAu4 crystal, with properties calculated at the PBE level.

Fermi-level density of states = 4.58 states/eV per cell
formation energy = -0.720 eV per atom
mass density = 11.8 g cm⁻³
SG = R-3m

Lattice parameters (Å, degrees): 4.8507 4.8507 8.5645 73.55 73.55 60.00
Fractional positions:
Au1 0.1201 0.1201 0.6398
Au2 0.8799 0.8799 0.3602
Au3 0.3633 0.3633 0.9100
Au4 0.6367 0.6367 0.0900
Sc1 0.0000 0.0000 0.0000
Er1 0.7575 0.7575 0.7275
Er2 0.2425 0.2425 0.2725

No. 4
Below is a relaxed LiPa2Ge3Pt4 crystal, with properties calculated at the PBE level.

Fermi-level density of states = 9.49 states/eV per cell
formation energy = -0.724 eV per atom
mass density = 13.3 g cm⁻³
SG = P-4m2

Lattice parameters (Å, degrees): 4.1320 4.1320 10.7290 90.00 90.00 90.00
Fractional positions:
Pa1 0.5000 0.0000 0.2535
Pa2 0.0000 0.5000 0.7465
Pt1 0.0000 0.0000 0.0000
Pt2 0.5000 0.5000 0.0000
Pt3 0.0000 0.5000 0.3593
Pt4 0.5000 0.0000 0.6407
Ge1 0.5000 0.0000 0.8664
Ge2 0.0000 0.0000 0.5000
Ge3 0.0000 0.5000 0.1336
Li1 0.5000 0.5000 0.5000

No. 5
Below is a relaxed NaCa2LaNi crystal, with properties calculated at the PBE level.

Fermi-level density of states = 3.74 states/eV per cell
formation energy = -0.074 eV per atom
mass density = 2.9 g cm⁻³
SG = P4/mmm

Lattice parameters (Å, degrees): 5.7512 5.7512 5.2691 90.00 90.00 90.00
Fractional positions:
La1 0.0000 0.0000 0.5000
Ca1 0.5000 0.0000 0.0000
Ca2 0.0000 0.5000 0.0000
Ni1 0.0000 0.0000 0.0000
Na1 0.5000 0.5000 0.5000

No. 6
Below is a relaxed LiSmSn2Pt4 crystal, with properties calculated at the PBE level.

Fermi-level density of states = 3.89 states/eV per cell
formation energy = -0.759 eV per atom
mass density = 13.0 g cm⁻³
SG = R-3m

Lattice parameters (Å, degrees): 4.4825 4.4825 9.0296 75.63 75.63 60.00
Fractional positions:
Pt1 0.1343 0.1343 0.5972
Pt2 0.8657 0.8657 0.4028
Pt3 0.4002 0.4002 0.7994
Pt4 0.5998 0.5998 0.2006
Sn1 0.7597 0.7597 0.7209
Sn2 0.2403 0.2403 0.2791
Sm1 0.0000 0.0000 0.0000
Li1 0.5000 0.5000 0.5000